[1]
Here is LaDy2TlC after structural relaxation from Alexandria. Energies are from PBE-GGA.

Properties
* final energy: -5.5112 eV/atom
* DOS(E_F): 2.336 states/eV/f.u.
* formation energy from the elements: -0.367 eV per atom
* total magnetization: 0.000 Bohr magnetons per cell

a = 5.173 Å, b = 4.974 Å, c = 4.974 Å
α = 90.00°, β = 90.00°, γ = 90.00°
Element x y z (fractional)
La  0.500  0.000  0.000
Dy  0.000  0.500  0.000
C  0.000  0.000  0.000
Tl  0.500  0.500  0.500
Dy  0.000  0.000  0.500

***

[2]
Here is La2DyTlC after structural relaxation from Alexandria. Energies are from PBE-GGA.

Properties
* final energy: -5.5312 eV/atom
* DOS(E_F): 2.984 states/eV/f.u.
* formation energy from the elements: -0.322 eV per atom
* total magnetization: 0.000 Bohr magnetons per cell

a = 4.974 Å, b = 5.234 Å, c = 5.234 Å
α = 90.00°, β = 90.00°, γ = 90.00°
Element x y z (fractional)
La  0.000  0.000  0.500
Dy  0.500  0.000  0.000
C  0.000  0.000  0.000
La  0.000  0.500  0.000
Tl  0.500  0.500  0.500

***

[3]
Here is LiDyC2O6 after structural relaxation from Alexandria. Energies are from PBE-GGA.

Properties
* final energy: -7.5801 eV/atom
* formation energy (no corrections): -2.11 eV/atom
* DOS(E_F): 0.000 states/eV/f.u.
* total magnetization: 0.000 Bohr magnetons per cell

a = 6.106 Å, b = 6.106 Å, c = 7.031 Å
α = 96.93°, β = 96.93°, γ = 110.45°
Element x y z (fractional)
O  0.244  0.125  0.663
O  0.032  0.478  0.753
Dy  0.576  0.424  0.250
O  0.756  0.875  0.337
O  0.305  0.529  0.419
O  0.125  0.244  0.163
C  0.573  0.876  0.226
O  0.471  0.695  0.081
O  0.529  0.305  0.919
O  0.522  0.968  0.747
C  0.876  0.573  0.726
Li  0.085  0.915  0.250
Li  0.915  0.085  0.750
O  0.695  0.471  0.581
C  0.427  0.124  0.774
O  0.968  0.522  0.247
Dy  0.424  0.576  0.750
O  0.875  0.756  0.837
C  0.124  0.427  0.274
O  0.478  0.032  0.253